No. 1
This record from Alexandria via LeMat-Bulk describes an optimized crystal structure of YHgBr2. The functional is GGA-PBEsol.

Calculated values
**Formation energy (no corrections)**: -3.21 eV/f.u.
**SG**: P4/mmm, No. 123

a b c (Å): 4.404 4.716 4.716
angles (deg): 90.00 90.00 90.00
Positions (direct):
Br 0.000 0.000 0.500
Hg 0.500 0.500 0.500
Y 0.500 0.000 0.000
Br 0.000 0.500 0.000

***

No. 2
This record from Alexandria via LeMat-Bulk describes an optimized crystal structure of Li2ZrBeIr. The functional is GGA-PBEsol.

Calculated values
**Formation energy**: 0.444 eV per atom
**SG**: P4/mmm, No. 123

a b c (Å): 4.175 4.311 4.311
angles (deg): 90.00 90.00 90.00
Positions (direct):
Be 0.500 0.000 0.000
Li 0.000 0.000 0.500
Ir 0.000 0.000 0.000
Li 0.000 0.500 0.000
Zr 0.500 0.500 0.500

***

No. 3
This record from Alexandria via LeMat-Bulk describes an optimized crystal structure of SrPtCl. The functional is GGA-PBEsol.

Calculated values
**Formation energy (no corrections)**: -2.22 eV/f.u.
**SG**: P-6m2, No. 187

a b c (Å): 3.654 4.579 4.579
angles (deg): 120.00 90.00 90.00
Positions (direct):
Pt 0.000 0.333 0.667
Cl 0.000 0.000 0.000
Sr 0.500 0.667 0.333

***

No. 4
This record from Alexandria via LeMat-Bulk describes an optimized crystal structure of Zn2InCo. The functional is GGA-PBEsol.

Calculated values
**Formation energy**: 0.160 eV per atom
**SG**: P2/m, No. 10

a b c (Å): 2.865 4.421 4.661
angles (deg): 90.00 92.28 90.00
Positions (direct):
Co 0.500 0.500 0.000
In 0.000 0.500 0.500
Zn 0.272 0.000 0.220
Zn 0.728 0.000 0.780

***

No. 5
This record from Alexandria via LeMat-Bulk describes an optimized crystal structure of NaGaBr2. The functional is GGA-PBEsol.

Calculated values
**Formation energy (no corrections)**: -3.64 eV/f.u.
**SG**: Fm-3m, No. 225

a b c (Å): 5.209 5.209 5.209
angles (deg): 60.00 60.00 60.00
Positions (direct):
Na 0.000 0.000 0.000
Ga 0.500 0.500 0.500
Br 0.250 0.250 0.250
Br 0.750 0.750 0.750

***

No. 6
This record from Alexandria via LeMat-Bulk describes an optimized crystal structure of Re3AsPb. The functional is GGA-PBEsol.

Calculated values
**Formation energy**: 3.495 eV per atom
**SG**: Pm-3m, No. 221

a b c (Å): 4.906 4.906 4.906
angles (deg): 90.00 90.00 90.00
Last column: magnetic moment on the atom in μB.
Positions (direct):
Pb 0.000 0.000 0.000  -0.01
Re 0.500 0.000 0.000  0.77
Re 0.000 0.000 0.500  0.77
Re 0.000 0.500 0.000  0.77
As 0.500 0.500 0.500  -0.09